A relaxed YTc2Te crystal. Source: Alexandria, functional GGA-PBE.

Cell lengths 4.591, 4.591, 3.500 Å; angles 90.00, 90.00, 90.00 degrees
Fractional positions:
Tc1 0.000 0.000 0.000
Tc2 0.500 0.500 0.000
Te1 0.500 0.000 0.500
Y1 0.000 0.500 0.500

A relaxed YTcTe crystal. Source: Alexandria, functional GGA-PBE.

Cell lengths 4.818, 4.818, 4.818 Å; angles 60.00, 60.00, 60.00 degrees
Each line ends with the local moment (μB).
Fractional positions:
Tc1 0.000 0.000 0.000  0.38
Te1 0.500 0.500 0.500  0.00
Y1 0.750 0.750 0.750  -0.03

E above lowest polymorph in eV/f.u.: 3.384

A relaxed YTcTe crystal. Source: Alexandria, functional GGA-PBE.

Cell lengths 4.586, 4.586, 3.667 Å; angles 90.00, 90.00, 120.00 degrees
Each line ends with the local moment (μB).
Fractional positions:
Tc1 0.000 0.000 0.167  0.29
Te1 0.667 0.333 0.167  0.02
Y1 0.333 0.667 0.667  0.03

E above lowest polymorph in eV/f.u.: 0.817

no.,raw formation energy (meV per atom),density (g/cm³)
1,85,9.28
2,546,6.61
3,-310,7.82